{
  "formula": "La2NdTh",
  "functional": "PBE-GGA",
  "state": "relaxed",
  "volume_a3_per_atom": 35.02,
  "magmom_total_mub_per_atom": 0.000,
  "e_form_ev_per_atom": 0.024,
  "e_tot_ev_per_cell": -21.95,
  "lattice_angstrom": [[1.8341, 1.0589, 12.0206], [-1.8341, 1.0589, 12.0206], [0.0000, -2.1178, 12.0206]],
  "species": ["La", "La", "Nd", "Th"],
  "frac_coords": [[0.0000, 0.0000, 0.0000], [0.1725, 0.1725, 0.1725], [0.7536, 0.7536, 0.7536], [0.5860, 0.5860, 0.5860]]
}